# 1
Computed, not measured: crystalline La2Pm3Hg2 at its relaxed geometry at the PBE-GGA level of DFT.

Cell: 12.2775 4.8448 8.4351 Å, 90.00 113.96 90.00°
With the nearest neighbours (Å) after each atom.
Fractional coordinates of all 14 atoms:
La 0.1382 0.0000 0.2943  4 Hg 3.39-3.55, 4 Pm 3.67-3.76
La 0.3618 0.5000 0.7057  4 Hg 3.39-3.55, 4 Pm 3.67-3.76
La 0.6382 0.5000 0.2943  4 Hg 3.39-3.55, 4 Pm 3.67-3.76
La 0.8618 0.0000 0.7057  4 Hg 3.39-3.55, 4 Pm 3.67-3.76
Pm 0.0000 0.5000 0.5000  4 Hg 3.10
Pm 0.1295 0.5000 0.9624  3 Hg 3.02-3.34
Pm 0.3705 0.0000 0.0376  3 Hg 3.02-3.34
Pm 0.5000 0.0000 0.5000  4 Hg 3.10
Pm 0.6295 0.0000 0.9624  3 Hg 3.02-3.34
Pm 0.8705 0.5000 0.0376  3 Hg 3.02-3.34
Hg 0.1492 0.0000 0.7022  5 Pm 3.02-3.34
Hg 0.3508 0.5000 0.2978  5 Pm 3.02-3.34
Hg 0.6492 0.5000 0.7022  5 Pm 3.02-3.34
Hg 0.8508 0.0000 0.2978  5 Pm 3.02-3.34

Results
E_tot: -3.73 eV per atom
Magnetization: 0.00 μB/f.u.

=====

# 2
Computed, not measured: crystalline CaCePd14 at its relaxed geometry at the PBE-GGA level of DFT.

Cell: 5.7859 5.7859 7.9122 Å, 90.00 90.00 90.00°
With the nearest neighbours (Å) after each atom.
Fractional coordinates of all 16 atoms:
Ca 0.0000 0.0000 0.0000  12 Pd 2.89-2.91
Ce 0.5000 0.5000 0.0000  12 Pd 2.88-2.89
Pd 0.0000 0.0000 0.5000  12 Pd 2.81-2.89
Pd 0.0000 0.5000 0.0000  2 Ce 2.89, 2 Ca 2.89, 8 Pd 2.89
Pd 0.0000 0.5000 0.5000  12 Pd 2.80-2.89
Pd 0.2525 0.2525 0.2588  10 Pd 2.78-2.92, 1 Ce 2.88, 1 Ca 2.91
Pd 0.2525 0.2525 0.7412  10 Pd 2.78-2.92, 1 Ce 2.88, 1 Ca 2.91
Pd 0.2525 0.7475 0.2588  10 Pd 2.78-2.92, 1 Ce 2.88, 1 Ca 2.91
Pd 0.2525 0.7475 0.7412  10 Pd 2.78-2.92, 1 Ce 2.88, 1 Ca 2.91
Pd 0.5000 0.0000 0.0000  2 Ce 2.89, 2 Ca 2.89, 8 Pd 2.89
Pd 0.5000 0.0000 0.5000  12 Pd 2.80-2.89
Pd 0.5000 0.5000 0.5000  12 Pd 2.78-2.89
Pd 0.7475 0.2525 0.2588  10 Pd 2.78-2.92, 1 Ce 2.88, 1 Ca 2.91
Pd 0.7475 0.2525 0.7412  10 Pd 2.78-2.92, 1 Ce 2.88, 1 Ca 2.91
Pd 0.7475 0.7475 0.2588  10 Pd 2.78-2.92, 1 Ce 2.88, 1 Ca 2.91
Pd 0.7475 0.7475 0.7412  10 Pd 2.78-2.92, 1 Ce 2.88, 1 Ca 2.91

Results
E_tot: -5.37 eV per atom
Magnetization: 0.00 μB/f.u.

=====

# 3
Computed, not measured: crystalline Ta2MoAuN at its relaxed geometry at the PBE-GGA level of DFT.

Cell: 4.2435 4.2435 4.1596 Å, 90.00 90.00 90.00°
With the nearest neighbours (Å) after each atom.
Fractional coordinates of all 5 atoms:
Ta 0.0000 0.5000 0.0000  2 N 2.12
Ta 0.5000 0.0000 0.0000  2 N 2.12
Mo 0.0000 0.0000 0.5000  2 N 2.08
Au 0.5000 0.5000 0.5000  8 Ta 2.97, 4 Mo 3.00
N 0.0000 0.0000 0.0000  2 Mo 2.08, 4 Ta 2.12

Results
Uncorrected formation energy: -0.361 eV/atom
Magnetization: 0.00 μB/f.u.

=====

# 4
Computed, not measured: crystalline Al3Au5 at its relaxed geometry at the PBE-GGA level of DFT.

Cell: 6.2684 7.1962 7.6229 Å, 81.23 69.50 64.22°
With the nearest neighbours (Å) after each atom.
Fractional coordinates of all 16 atoms:
Al 0.0000 0.0000 0.0000  8 Au 2.60-2.77
Al 0.0538 0.5187 0.1485  8 Au 2.71-2.85
Al 0.2173 0.8376 0.5053  8 Au 2.61-2.88
Al 0.4825 0.0367 0.9992  8 Au 2.60-2.77
Al 0.5372 0.1982 0.5059  8 Au 2.62-2.89
Al 0.6790 0.5183 0.8382  7 Au 2.62-2.72
Au 0.0364 0.1527 0.2823  5 Al 2.68-2.89, 2 Au 2.85-2.88
Au 0.1325 0.5177 0.4851  3 Al 2.61-2.78, 1 Au 2.92
Au 0.1541 0.3021 0.8456  5 Al 2.62-2.78, 2 Au 2.80-2.87
Au 0.3343 0.7350 0.1456  5 Al 2.60-2.80, 2 Au 2.81-2.88
Au 0.4504 0.8861 0.7117  5 Al 2.62-2.77, 2 Au 2.87-2.91
Au 0.5514 0.3016 0.1460  5 Al 2.60-2.81, 2 Au 2.81-2.88
Au 0.6664 0.5182 0.4854  4 Al 2.72-2.85, 5 Au 2.85-2.92
Au 0.6694 0.8840 0.2826  5 Al 2.68-2.88, 2 Au 2.85-2.88
Au 0.8197 0.1502 0.7112  5 Al 2.62-2.77, 2 Au 2.87-2.91
Au 0.9381 0.7345 0.8450  5 Al 2.62-2.77, 2 Au 2.80-2.87

Results
E_tot: -3.75 eV per atom
Magnetization: 0.00 μB/f.u.

=====

# 5
Computed, not measured: crystalline YMgCu3 at its relaxed geometry at the PBE-GGA level of DFT.

Cell: 4.6042 4.6042 4.6042 Å, 90.00 90.00 90.00°
With the nearest neighbours (Å) after each atom.
Fractional coordinates of all 5 atoms:
Y 0.0000 0.0000 0.0000  12 Cu 3.26
Mg 0.5000 0.5000 0.5000  6 Cu 2.30
Cu 0.0000 0.5000 0.5000  2 Mg 2.30
Cu 0.5000 0.0000 0.5000  2 Mg 2.30
Cu 0.5000 0.5000 0.0000  2 Mg 2.30

Results
E_tot: -3.68 eV per atom
Magnetization: 0.00 μB/f.u.

=====

# 6
Computed, not measured: crystalline Hg2PtCl at its relaxed geometry at the PBE-GGA level of DFT.

Cell: 3.2779 3.2779 8.3336 Å, 90.00 90.00 90.00°
With the nearest neighbours (Å) after each atom.
Fractional coordinates of all 4 atoms:
Hg 0.0000 0.0000 0.0000  8 Hg 3.28-3.46, 4 Cl 3.39
Hg 0.5000 0.5000 0.3079  4 Pt 2.79
Pt 0.0000 0.0000 0.4953  4 Hg 2.79, 4 Cl 2.89
Cl 0.5000 0.5000 0.7033  4 Pt 2.89

Results
Uncorrected formation energy: 0.218 eV/atom
Magnetization: 0.00 μB/f.u.

=====

# 7
Computed, not measured: crystalline LiTiH3 at its relaxed geometry at the PBE-GGA level of DFT.

Cell: 5.7430 5.7430 2.6617 Å, 90.00 90.00 120.39°
With the nearest neighbours (Å) after each atom.
Fractional coordinates of all 10 atoms:
Li 0.0000 0.5000 0.0000  6 H 1.83-2.01
Li 0.5000 0.0000 0.0000  6 H 1.83-2.01
Ti 0.0000 0.0000 0.0000  8 H 1.99
Ti 0.5000 0.5000 0.5000  8 H 1.89-2.07
H 0.0823 0.2901 0.5000  3 Ti 1.99-2.07, 2 Li 2.01, 2 H 2.07-2.13
H 0.2901 0.0823 0.5000  3 Ti 1.99-2.07, 2 Li 2.01, 2 H 2.07-2.13
H 0.3652 0.6348 0.0000  2 Li 1.83, 2 Ti 1.89
H 0.6348 0.3652 0.0000  2 Li 1.83, 2 Ti 1.89
H 0.7099 0.9177 0.5000  3 Ti 1.99-2.07, 2 Li 2.01, 2 H 2.07-2.13
H 0.9177 0.7099 0.5000  3 Ti 1.99-2.07, 2 Li 2.01, 2 H 2.07-2.13

Results
E_tot: -4.29 eV per atom
Magnetization: 0.09 μB/f.u.

=====

# 8
Computed, not measured: crystalline PrTmInGa at its relaxed geometry at the PBE-GGA level of DFT.

Cell: 3.6857 3.6857 7.5774 Å, 90.00 90.00 90.00°
With the nearest neighbours (Å) after each atom.
Fractional coordinates of all 4 atoms:
Pr 0.0000 0.0000 0.0000  4 Ga 3.25, 4 In 3.37, 1 Tm 3.57
Tm 0.0000 0.0000 0.4716  4 Ga 3.07, 4 In 3.20
In 0.5000 0.5000 0.7177  4 Tm 3.20, 4 Pr 3.37, 1 Ga 3.49
Ga 0.5000 0.5000 0.2573  4 Tm 3.07, 4 Pr 3.25

Results
E_tot: -4.26 eV per atom
Magnetization: 0.00 μB/f.u.

=====

Which of these has the highest magnetization? LiTiH3